First-principles (PBE) data for crystalline PrHfHg at its relaxed geometry, as listed in OQMD via LeMat-Bulk.

Cell: 5.0115 5.0115 5.0115 Å, 60.00 60.00 60.00°
Element x y z (fractional)
Pr (0.0000, 0.0000, 0.0000)
Hf (0.5000, 0.5000, 0.5000)
Hg (0.7500, 0.7500, 0.7500)

Computed properties:
- Electronic total energy: -4.67 eV per atom
- Symmetry: F-43m, No. 216
- Formation energy: 0.335 eV per atom
- Mass density: 9.70 Mg/m³
- Excess energy over the best structure of this formula in the dataset: 0.0000 eV per atom

First-principles (PBE) data for crystalline HfHg2Pt at its relaxed geometry, as listed in OQMD via LeMat-Bulk.

Cell: 4.7756 4.7756 4.7756 Å, 60.00 60.00 60.00°
Element x y z (fractional)
Hf (0.0000, 0.0000, 0.0000)
Hg (0.2500, 0.2500, 0.2500)
Hg (0.5000, 0.5000, 0.5000)
Pt (0.7500, 0.7500, 0.7500)

Computed properties:
- Electronic total energy: -4.37 eV per atom
- Symmetry: F-43m, No. 216
- Formation energy: -0.218 eV per atom
- Mass density: 16.71 Mg/m³

First-principles (PBE) data for crystalline Hf2Hg3Pt at its relaxed geometry, as listed in OQMD via LeMat-Bulk.

Cell: 3.4590 3.4590 10.0995 Å, 90.00 90.00 90.00°
Element x y z (fractional)
Hf (0.0000, 0.0000, 0.0000)
Hf (0.5000, 0.5000, 0.4519)
Hg (0.0000, 0.0000, 0.2918)
Hg (0.0000, 0.0000, 0.6370)
Hg (0.5000, 0.5000, 0.8175)
Pt (0.5000, 0.5000, 0.1268)

Computed properties:
- Electronic total energy: -4.68 eV per atom
- Symmetry: P4mm, No. 99
- Formation energy: -0.207 eV per atom
- Mass density: 15.86 Mg/m³

First-principles (PBE) data for crystalline Rb2HfHg at its relaxed geometry, as listed in OQMD via LeMat-Bulk.

Cell: 8.1904 8.1904 5.9573 Å, 90.00 90.00 50.14°
Element x y z (fractional)
Rb (0.0668, 0.5817, 0.7500)
Rb (0.4183, 0.9332, 0.7500)
Rb (0.5817, 0.0668, 0.2500)
Rb (0.9332, 0.4183, 0.2500)
Hf (0.3868, 0.6132, 0.2500)
Hf (0.6132, 0.3868, 0.7500)
Hg (0.0000, 0.0000, 0.0000)
Hg (0.0000, 0.0000, 0.5000)

Computed properties:
- Electronic total energy: -2.39 eV per atom
- Symmetry: Cmcm, No. 63
- Mass density: 5.95 Mg/m³

First-principles (PBE) data for crystalline Hf2ReHg at its relaxed geometry, as listed in OQMD via LeMat-Bulk.

Cell: 4.7349 4.7349 4.7349 Å, 60.00 60.00 60.00°
Element x y z (fractional)
Hf (0.0000, 0.0000, 0.0000)
Hf (0.2500, 0.2500, 0.2500)
Re (0.5000, 0.5000, 0.5000)
Hg (0.7500, 0.7500, 0.7500)

Computed properties:
- Electronic total energy: -7.88 eV per atom
- Symmetry: F-43m, No. 216
- Formation energy: 0.273 eV per atom
- Mass density: 16.45 Mg/m³

First-principles (PBE) data for crystalline HfReHg at its relaxed geometry, as listed in OQMD via LeMat-Bulk.

Cell: 4.5614 4.5614 4.5614 Å, 60.00 60.00 60.00°
Element x y z (fractional)
Hf (0.0000, 0.0000, 0.0000)
Re (0.2500, 0.2500, 0.2500)
Hg (0.5000, 0.5000, 0.5000)

Computed properties:
- Electronic total energy: -6.79 eV per atom
- Symmetry: F-43m, No. 216
- Formation energy: 0.767 eV per atom
- Mass density: 13.99 Mg/m³
- Excess energy over the best structure of this formula in the dataset: 0.0000 eV per atom

First-principles (PBE) data for crystalline HfTlHg3S4 at its relaxed geometry, as listed in OQMD via LeMat-Bulk.

Cell: 6.7999 6.7999 6.7999 Å, 90.00 90.00 90.00°
Element x y z (fractional)
Hf (0.0000, 0.0000, 0.0000)
Tl (0.5000, 0.5000, 0.5000)
Hg (0.0000, 0.0000, 0.5000)
Hg (0.0000, 0.5000, 0.0000)
Hg (0.5000, 0.0000, 0.0000)
S (0.2061, 0.2061, 0.7939)
S (0.2061, 0.7939, 0.2061)
S (0.7939, 0.2061, 0.2061)
S (0.7939, 0.7939, 0.7939)

Computed properties:
- Electronic total energy: -3.64 eV per atom
- Symmetry: P-43m, No. 215
- Mass density: 5.88 Mg/m³
- Excess energy over the best structure of this formula in the dataset: 0.1509 eV per atom

First-principles (PBE) data for crystalline HfTlHg3S4 at its relaxed geometry, as listed in OQMD via LeMat-Bulk.

Cell: 7.1736 7.6305 10.3498 Å, 90.00 108.42 90.00°
Element x y z (fractional)
Hf (0.0154, 0.2500, 0.2473)
Hf (0.9846, 0.7500, 0.7527)
Tl (0.1962, 0.2500, 0.9211)
Tl (0.8038, 0.7500, 0.0789)
Hg (0.2935, 0.5392, 0.4608)
Hg (0.2935, 0.9608, 0.4608)
Hg (0.4625, 0.7500, 0.6976)
Hg (0.5375, 0.2500, 0.3024)
Hg (0.7065, 0.0392, 0.5392)
Hg (0.7065, 0.4608, 0.5392)
S (0.0831, 0.2500, 0.4924)
S (0.1811, 0.0049, 0.1895)
S (0.1811, 0.4951, 0.1895)
S (0.3248, 0.7500, 0.8902)
S (0.6752, 0.2500, 0.1098)
S (0.8189, 0.5049, 0.8105)
S (0.8189, 0.9951, 0.8105)
S (0.9169, 0.7500, 0.5076)

Computed properties:
- Electronic total energy: -3.80 eV per atom
- Symmetry: P2_1/m, No. 11
- Mass density: 6.88 Mg/m³
- Excess energy over the best structure of this formula in the dataset: 0.0000 eV per atom

Summary of V in Å³/cell
89.0 77.0 120.8 306.7 75.1 67.1 314.4 537.5
(order as listed above)